# 1
Computed, not measured: KHgI3 after structural relaxation at the PBE level of DFT.

SG: Pm-3m, No. 221

abc: 6.7439 6.7439 6.7439
angles: 90.00 90.00 90.00
Sites, in units of the cell vectors:
I  0.5000  0.0000  0.0000
I  0.0000  0.0000  0.5000
I  0.0000  0.5000  0.0000
K  0.0000  0.0000  0.0000
Hg  0.5000  0.5000  0.5000


# 2
Computed, not measured: KHg3I after structural relaxation at the PBE level of DFT.

SG: Pm-3m, No. 221

abc: 6.4516 6.4516 6.4516
angles: 90.00 90.00 90.00
Sites, in units of the cell vectors:
Hg  0.0000  0.0000  0.5000
Hg  0.0000  0.5000  0.0000
Hg  0.5000  0.0000  0.0000
I  0.5000  0.5000  0.5000
K  0.0000  0.0000  0.0000


# 3
Computed, not measured: K2HgI4 after structural relaxation at the PBE level of DFT.

SG: I4/mmm, No. 139

abc: 6.0862 6.0862 9.7658
angles: 71.84 71.84 90.00
Sites, in units of the cell vectors:
K  0.6309  0.6309  0.7382
K  0.3691  0.3691  0.2618
I  0.5000  0.0000  0.0000
I  0.1689  0.1689  0.6622
I  0.0000  0.5000  0.0000
I  0.8311  0.8311  0.3378
Hg  0.0000  0.0000  0.0000


no.,formation energy from raw total energies (eV/atom)
1,-0.1260
2,-0.1530
3,-0.8837